Here is crystalline SrRe2W at its relaxed geometry from Alexandria via LeMat-Bulk. Energies are from PBE.

Values from the calculation:
energy relative to the elements	1214	meV/atom
energy above the most stable polymorph in this dataset	1.94	eV/f.u.
density of states at the Fermi level	4.72	states/eV per cell

```
data_SrRe2W
_symmetry_space_group_name_H-M 'P 4/m m m'
_symmetry_Int_Tables_number 123
_symmetry_space_group_name_Hall '-P 4 2'
_cell_length_a 4.771
_cell_length_b 4.771
_cell_length_c 3.167
_cell_angle_alpha 90.00
_cell_angle_beta 90.00
_cell_angle_gamma 90.00
loop_
_atom_site_label
_atom_site_fract_x
_atom_site_fract_y
_atom_site_fract_z
Sr1 0.000 0.000 0.000
Re1 0.000 0.500 0.500
W1 0.500 0.500 0.000
```

***

Here is crystalline H2PbO at its relaxed geometry from Alexandria via LeMat-Bulk. Energies are from PBE.

Values from the calculation:
energy above the most stable polymorph in this dataset	1.47	eV/f.u.
density of states at the Fermi level	4.23	states/eV per cell

```
data_H2PbO
_symmetry_space_group_name_H-M 'R -3 m'
_symmetry_Int_Tables_number 166
_symmetry_space_group_name_Hall '-R 3 2"'
_cell_length_a 2.9236
_cell_length_b 2.9236
_cell_length_c 22.6241
_cell_angle_alpha 90.00
_cell_angle_beta 90.00
_cell_angle_gamma 120.00
loop_
_atom_site_label
_atom_site_fract_x
_atom_site_fract_y
_atom_site_fract_z
H1 0.0000 0.0000 0.1668
Pb1 0.0000 0.0000 0.0000
O1 0.0000 0.0000 0.5000
```

***

Here is crystalline Ho4Cu5P7 at its relaxed geometry from Alexandria via LeMat-Bulk. Energies are from PBE.

Values from the calculation:
energy relative to the elements	-817	meV/atom
density of states at the Fermi level	5.74	states/eV per cell

```
data_Ho4Cu5P7
_symmetry_space_group_name_H-M 'I -4 2 m'
_symmetry_Int_Tables_number 121
_symmetry_space_group_name_Hall 'I -4 2'
_cell_length_a 5.260
_cell_length_b 5.260
_cell_length_c 19.342
_cell_angle_alpha 90.00
_cell_angle_beta 90.00
_cell_angle_gamma 90.00
loop_
_atom_site_label
_atom_site_fract_x
_atom_site_fract_y
_atom_site_fract_z
Ho1 0.241 0.241 0.117
Cu1 0.000 0.000 0.249
Cu2 0.000 0.000 0.500
Cu3 0.000 0.500 0.250
P1 0.000 0.000 0.000
P2 0.000 0.500 0.000
P3 0.245 0.245 0.329
```

***

Here is crystalline Rb2LiScCl at its relaxed geometry from Alexandria via LeMat-Bulk. Energies are from PBE.

Values from the calculation:
formation energy without anion corrections	-24	kJ/mol of formula units
density of states at the Fermi level	5.69	states/eV per cell

```
data_Rb2LiScCl
_symmetry_space_group_name_H-M 'P 4/m m m'
_symmetry_Int_Tables_number 123
_symmetry_space_group_name_Hall '-P 4 2'
_cell_length_a 7.669
_cell_length_b 7.669
_cell_length_c 4.236
_cell_angle_alpha 90.00
_cell_angle_beta 90.00
_cell_angle_gamma 90.00
loop_
_atom_site_label
_atom_site_fract_x
_atom_site_fract_y
_atom_site_fract_z
Rb1 0.000 0.500 0.000
Li1 0.000 0.000 0.000
Sc1 0.500 0.500 0.500
Cl1 0.000 0.000 0.500
```

***

Here is crystalline Pm12Y7Tm at its relaxed geometry from Alexandria via LeMat-Bulk. Energies are from PBE.

Values from the calculation:
energy relative to the elements	285	meV/atom
energy above the most stable polymorph in this dataset	1.33	eV/f.u.
density of states at the Fermi level	81.56	states/eV per cell

```
data_Pm12Y7Tm
_symmetry_space_group_name_H-M 'R -3'
_symmetry_Int_Tables_number 148
_symmetry_space_group_name_Hall '-R 3'
_cell_length_a 18.8499
_cell_length_b 18.8499
_cell_length_c 6.7895
_cell_angle_alpha 90.00
_cell_angle_beta 90.00
_cell_angle_gamma 120.00
loop_
_atom_site_label
_atom_site_fract_x
_atom_site_fract_y
_atom_site_fract_z
Pm1 0.9995 0.2111 0.2158
Pm2 0.0057 0.4706 0.2432
Y1 0.0000 0.0000 0.0000
Y2 0.0065 0.8522 0.2786
Tm1 0.0000 0.0000 0.5000
```

***

Here is crystalline BaCd2Ga at its relaxed geometry from Alexandria via LeMat-Bulk. Energies are from PBE.

Values from the calculation:
energy relative to the elements	-126	meV/atom
density of states at the Fermi level	9.43	states/eV per cell

```
data_BaCd2Ga
_symmetry_space_group_name_H-M 'I -4 2 d'
_symmetry_Int_Tables_number 122
_symmetry_space_group_name_Hall 'I -4 2bw'
_cell_length_a 5.527
_cell_length_b 5.527
_cell_length_c 18.445
_cell_angle_alpha 90.00
_cell_angle_beta 90.00
_cell_angle_gamma 90.00
loop_
_atom_site_label
_atom_site_fract_x
_atom_site_fract_y
_atom_site_fract_z
Ba1 0.000 0.000 0.000
Cd1 0.023 0.250 0.625
Ga1 0.000 0.000 0.500
```

***

Here is crystalline Ni2Te8Mo at its relaxed geometry from Alexandria via LeMat-Bulk. Energies are from PBE.

Values from the calculation:
formation energy without anion corrections	-7	kJ/mol of formula units
density of states at the Fermi level	13.82	states/eV per cell

```
data_Ni2Te8Mo
_symmetry_space_group_name_H-M 'C 1 2/m 1'
_symmetry_Int_Tables_number 12
_symmetry_space_group_name_Hall '-C 2y'
_cell_length_a 14.101
_cell_length_b 7.997
_cell_length_c 5.476
_cell_angle_alpha 90.00
_cell_angle_beta 94.71
_cell_angle_gamma 90.00
loop_
_atom_site_label
_atom_site_fract_x
_atom_site_fract_y
_atom_site_fract_z
Ni1 0.177 0.000 0.324
Te1 0.087 0.262 0.263
Te2 0.148 0.500 0.657
Te3 0.157 0.000 0.812
Mo1 0.000 0.000 0.500
```

***

Here is crystalline BaNbAs2Br at its relaxed geometry from Alexandria via LeMat-Bulk. Energies are from PBE.

Values from the calculation:
formation energy without anion corrections	-350	kJ/mol of formula units
energy above the most stable polymorph in this dataset	0.00	eV/f.u.
density of states at the Fermi level	2.69	states/eV per cell

```
data_BaNbAs2Br
_symmetry_space_group_name_H-M 'P 4/m m m'
_symmetry_Int_Tables_number 123
_symmetry_space_group_name_Hall '-P 4 2'
_cell_length_a 5.063
_cell_length_b 5.063
_cell_length_c 5.439
_cell_angle_alpha 90.00
_cell_angle_beta 90.00
_cell_angle_gamma 90.00
loop_
_atom_site_label
_atom_site_fract_x
_atom_site_fract_y
_atom_site_fract_z
Ba1 0.000 0.000 0.000
Nb1 0.500 0.500 0.500
As1 0.000 0.500 0.500
Br1 0.500 0.500 0.000
```

***

Here is crystalline DyBiPdPt at its relaxed geometry from Alexandria via LeMat-Bulk. Energies are from PBE.

Values from the calculation:
energy relative to the elements	-753	meV/atom
density of states at the Fermi level	10.94	states/eV per cell

```
data_DyBiPdPt
_symmetry_space_group_name_H-M 'F -4 3 m'
_symmetry_Int_Tables_number 216
_symmetry_space_group_name_Hall 'F -4 2 3'
_cell_length_a 6.956
_cell_length_b 6.956
_cell_length_c 6.956
_cell_angle_alpha 90.00
_cell_angle_beta 90.00
_cell_angle_gamma 90.00
loop_
_atom_site_label
_atom_site_fract_x
_atom_site_fract_y
_atom_site_fract_z
Dy1 0.000 0.000 0.000
Bi1 0.000 0.000 0.500
Pd1 0.250 0.250 0.750
Pt1 0.250 0.250 0.250
```

***

Here is crystalline YBi2Ir at its relaxed geometry from Alexandria via LeMat-Bulk. Energies are from PBE.

Values from the calculation:
energy relative to the elements	346	meV/atom
energy above the most stable polymorph in this dataset	1.39	eV/f.u.
density of states at the Fermi level	16.80	states/eV per cell

```
data_YBi2Ir
_symmetry_space_group_name_H-M 'I -4 2 d'
_symmetry_Int_Tables_number 122
_symmetry_space_group_name_Hall 'I -4 2bw'
_cell_length_a 6.658
_cell_length_b 6.658
_cell_length_c 12.983
_cell_angle_alpha 90.00
_cell_angle_beta 90.00
_cell_angle_gamma 90.00
loop_
_atom_site_label
_atom_site_fract_x
_atom_site_fract_y
_atom_site_fract_z
Y1 0.000 0.000 0.000
Bi1 0.189 0.250 0.625
Ir1 0.000 0.000 0.500
```

***

Here is crystalline KH2Rh2 at its relaxed geometry from Alexandria via LeMat-Bulk. Energies are from PBE.

Values from the calculation:
energy above the most stable polymorph in this dataset	0.00	eV/f.u.
density of states at the Fermi level	9.89	states/eV per cell

```
data_KH2Rh2
_symmetry_space_group_name_H-M 'I 4/m m m'
_symmetry_Int_Tables_number 139
_symmetry_space_group_name_Hall '-I 4 2'
_cell_length_a 3.684
_cell_length_b 3.684
_cell_length_c 11.464
_cell_angle_alpha 90.00
_cell_angle_beta 90.00
_cell_angle_gamma 90.00
loop_
_atom_site_label
_atom_site_fract_x
_atom_site_fract_y
_atom_site_fract_z
K1 0.000 0.000 0.000
H1 0.000 0.500 0.250
Rh1 0.000 0.000 0.280
```

***

Here is crystalline CaZrOsO6 at its relaxed geometry from Alexandria via LeMat-Bulk. Energies are from PBE.

Values from the calculation:
formation energy without anion corrections	-1902	kJ/mol of formula units
density of states at the Fermi level	10.40	states/eV per cell

```
data_CaZrOsO6
_symmetry_space_group_name_H-M 'P -3 1 c'
_symmetry_Int_Tables_number 163
_symmetry_space_group_name_Hall '-P 3 2c'
_cell_length_a 5.3757
_cell_length_b 5.3757
_cell_length_c 9.9735
_cell_angle_alpha 90.00
_cell_angle_beta 90.00
_cell_angle_gamma 120.00
loop_
_atom_site_label
_atom_site_fract_x
_atom_site_fract_y
_atom_site_fract_z
Ca1 0.0000 0.0000 0.0000
Zr1 0.3333 0.6667 0.2500
Os1 0.3333 0.6667 0.7500
O1 0.0242 0.3748 0.6411
```